# RbPrMo (GGA-PBE, relaxed)
# - ΔE to the lowest computed polymorph: 0.0 kJ per mole of atoms
# - M_tot: 0.79 μB per atom
# - Calculated density: 4.87 g/cm³
data_RbPrMo
_chemical_formula_sum 'Rb4 Pr4 Mo4'
_space_group_name_H-M_alt 'F -4 3 m'
_space_group_IT_number 216
_space_group_name_Hall 'F -4 2 3'
_cell_length_a 7.6015
_cell_length_b 7.6015
_cell_length_c 7.6015
_cell_angle_alpha 90.00
_cell_angle_beta 90.00
_cell_angle_gamma 90.00
loop_
_atom_site_label
_atom_site_type_symbol
_atom_site_fract_x
_atom_site_fract_y
_atom_site_fract_z
Rb1 Rb 0.0000 0.0000 0.0000
Pr1 Pr 0.0000 0.0000 0.5000
Mo1 Mo 0.2500 0.2500 0.7500